## Ce2Al4NiAu3 (PBE)

Data for a geometry-optimized Ce2Al4NiAu3 structure.

It has space group P-4m2 (No. 115), with a = 4.359 Å, b = 4.359 Å, c = 10.381 Å, α = 90.00°, β = 90.00° and γ = 90.00°. The asymmetric unit holds Ce at (0.000, 0.500, 0.240), Al at (0.000, 0.000, 0.500), Al at (0.000, 0.500, 0.879), Al at (0.500, 0.500, 0.500), Ni at (0.500, 0.500, 0.000), Au at (0.000, 0.000, 0.000) and Au at (0.000, 0.500, 0.636).

For the formation enthalpy at 0 K, the calculation gives -633 meV/atom. The calculation puts the energy at -0.179 hartree per atom. The crystal system is tetragonal.

=====

## CeAl4OsAu2 (PBE)

Data for a geometry-optimized CeAl4OsAu2 structure.

It has space group R-3m (No. 166, hexagonal axes), with a = 4.3431 Å, b = 4.3431 Å, c = 27.1919 Å, α = 90.00°, β = 90.00° and γ = 120.00°. The asymmetric unit holds Ce at (0.0000, 0.0000, 0.0000), Al at (0.0000, 0.0000, 0.1381), Al at (0.0000, 0.0000, 0.4040), Os at (0.0000, 0.0000, 0.5000) and Au at (0.0000, 0.0000, 0.2407).

For the formation enthalpy at 0 K, the calculation gives -406 meV/atom. The calculation puts the energy at -0.193 hartree per atom. The crystal system is trigonal.

=====

## Ce2Al6PdAu (PBE)

Data for a geometry-optimized Ce2Al6PdAu structure.

It has space group P-1 (No. 2), with a = 5.490 Å, b = 6.693 Å, c = 6.700 Å, α = 92.81°, β = 114.12° and γ = 114.19°. The asymmetric unit holds Ce at (0.250, 0.238, 0.263), Al at (0.191, 0.687, 0.197), Al at (0.248, 0.925, 0.570), Al at (0.306, 0.314, 0.803), Pd at (0.000, 0.500, 0.500) and Au at (0.500, 0.000, 0.000).

For the formation enthalpy at 0 K, the calculation gives -449 meV/atom. The calculation puts the energy at -0.174 hartree per atom. The crystal system is triclinic.

=====

no.,Fermi-level density of states (states/eV/cell)
1,13.587
2,24.686
3,12.624